TcTeW2: relaxed, PBEsol.

Cell: 3.0337 4.1368 5.3148 Å, 90.00 90.00 90.00°
Space group Pmm2 (No. 25)
Inequivalent atoms, fractional coordinates:
Tc1 0.0000 0.0000 0.0000
Te1 0.5000 0.5000 0.2533
W1 0.0000 0.0000 0.5364
W2 0.5000 0.5000 0.7570

Size of the total moment (μB per cell): 0.00
ρ (g/cm³): 14.8
ΔE to the lowest computed polymorph (eV per atom): 0.042
DOS at the Fermi energy (states/eV per cell): 3.25
Raw formation energy (eV per atom): 0.548